Record 1
DFT (PBE-GGA) results for a geometry-optimized RbCd2AgMo structure.

Computed properties:
Uncorrected energy: -10.9 eV per cell
Calculated formation energy: 1.1213 eV/atom

Unit cell a=5.396 b=5.396 c=6.122 alpha=90.00 beta=90.00 gamma=90.00
Atoms (fractional coordinates):
Rb (0.000, 0.000, 0.000)
Cd (0.000, 0.500, 0.500)
Cd (0.500, 0.000, 0.500)
Ag (0.000, 0.000, 0.500)
Mo (0.500, 0.500, 0.000)


Record 2
DFT (PBE-GGA) results for a geometry-optimized CdReAgMo2 structure.

Computed properties:
Uncorrected energy: -30.2 eV per cell
Calculated formation energy: 1.5259 eV/atom

Unit cell a=4.767 b=4.767 c=5.225 alpha=90.00 beta=90.00 gamma=90.00
Atoms (fractional coordinates):
Cd (0.000, 0.000, 0.000)
Re (0.000, 0.000, 0.500)
Ag (0.500, 0.500, 0.000)
Mo (0.000, 0.500, 0.500)
Mo (0.500, 0.000, 0.500)


Record 3
DFT (PBE-GGA) results for a geometry-optimized CdAg2MoRh structure.

Computed properties:
Uncorrected energy: -15.9 eV per cell
Calculated formation energy: 1.7729 eV/atom

Unit cell a=4.944 b=4.944 c=5.174 alpha=90.00 beta=90.00 gamma=90.00
Atoms (fractional coordinates):
Cd (0.000, 0.000, 0.000)
Ag (0.000, 0.500, 0.000)
Ag (0.500, 0.000, 0.000)
Mo (0.000, 0.000, 0.500)
Rh (0.500, 0.500, 0.500)


Record 4
DFT (PBE-GGA) results for a geometry-optimized Cd2AgMoS structure.

Computed properties:
Uncorrected energy: -14.0 eV per cell
ΔE_f (raw): 1.132 eV per atom

Unit cell a=5.084 b=5.084 c=5.186 alpha=90.00 beta=90.00 gamma=90.00
Atoms (fractional coordinates):
Cd (0.000, 0.500, 0.000)
Cd (0.500, 0.000, 0.000)
Ag (0.000, 0.000, 0.000)
Mo (0.000, 0.000, 0.500)
S (0.500, 0.500, 0.500)


Record 5
DFT (PBE-GGA) results for a geometry-optimized CdSiAgMo2 structure.

Computed properties:
Uncorrected energy: -19.9 eV per cell
ΔE_f (raw): 2.181 eV per atom

Unit cell a=5.074 b=5.074 c=4.895 alpha=90.00 beta=90.00 gamma=90.00
Atoms (fractional coordinates):
Cd (0.000, 0.000, 0.000)
Si (0.500, 0.500, 0.500)
Ag (0.000, 0.000, 0.500)
Mo (0.000, 0.500, 0.000)
Mo (0.500, 0.000, 0.000)


Record 6
DFT (PBE-GGA) results for a geometry-optimized Zr2CdAgMo structure.

Computed properties:
Uncorrected energy: -23.7 eV per cell
Calculated formation energy: 1.6034 eV/atom

Unit cell a=5.214 b=5.214 c=4.974 alpha=90.00 beta=90.00 gamma=90.00
Atoms (fractional coordinates):
Zr (0.000, 0.500, 0.000)
Zr (0.500, 0.000, 0.000)
Cd (0.000, 0.000, 0.000)
Ag (0.500, 0.500, 0.500)
Mo (0.000, 0.000, 0.500)